The following is a DFT calculation (PBE) of crystalline Cr2PdAu6 at its relaxed geometry.

Unit cell a=12.444 b=3.994 c=6.542 alpha=90.00 beta=108.59 gamma=90.00
Space group C2/m (No. 12)
One atom of each set of equivalent atoms:
Cr1 0.056 0.000 0.324 (multiplicity 4)
Pd1 0.000 0.500 0.000 (multiplicity 2)
Au1 0.105 0.500 0.663 (multiplicity 4)
Au2 0.163 0.000 0.001 (multiplicity 4)
Au3 0.220 0.500 0.335 (multiplicity 4)

Computed properties:
The value obtained for the density of states at the Fermi level is 5.5 states/eV/f.u. The value obtained for the magnetization is 0.8902 μB per atom. Its formation energy is 0.01 eV/atom. The mass density comes out at 15.0 g cm⁻³.